(1)
This record from Alexandria describes crystalline TlSbSe2 at its relaxed geometry. The functional is PBE.

Mass density   5.8 g cm⁻³
Formation energy (no corrections)   -0.175 eV per atom

a = 7.832 Å, b = 7.832 Å, c = 9.111 Å
α = 90.00°, β = 90.00°, γ = 90.00°
Space group I-42d (No. 122)
Inequivalent atoms, fractional coordinates:
Tl: 0.000 0.000 0.000 [4 per cell]
Sb: 0.000 0.000 0.500 [4 per cell]
Se: 0.204 0.750 0.625 [8 per cell]

***

(2)
This record from Alexandria describes crystalline Rb2Nd2PtO6 at its relaxed geometry. The functional is PBE.

Mass density   5.9 g cm⁻³
Formation energy (no corrections)   -1.979 eV per atom

a = 6.053 Å, b = 10.366 Å, c = 6.919 Å
α = 90.00°, β = 104.63°, γ = 90.00°
Space group C2/m (No. 12)
Inequivalent atoms, fractional coordinates:
Rb: 0.000 0.160 0.000 [4 per cell]
Nd: 0.000 0.336 0.500 [4 per cell]
Pt: 0.000 0.000 0.500 [2 per cell]
O: 0.197 0.152 0.665 [8 per cell]
O: 0.244 0.000 0.329 [4 per cell]

***

(3)
This record from Alexandria describes crystalline LiNiSbAu at its relaxed geometry. The functional is PBE.

Mass density   10.0 g cm⁻³
Formation energy (no corrections)   -0.264 eV per atom

a = 6.342 Å, b = 6.342 Å, c = 6.342 Å
α = 90.00°, β = 90.00°, γ = 90.00°
Space group F-43m (No. 216)
Inequivalent atoms, fractional coordinates:
Li: 0.000 0.000 0.000 [4 per cell]
Ni: 0.000 0.000 0.500 [4 per cell]
Sb: 0.250 0.250 0.250 [4 per cell]
Au: 0.250 0.250 0.750 [4 per cell]

***

Question: Among the records above, which one has the highest mass density?
Answer: LiNiSbAu